First-principles (PBE) data for a relaxed K6HfSb4 crystal, as listed in the Alexandria database.

Summary:
formation energy (no corrections): -0.42 eV/atom
density of states at the Fermi level: 7.3 states/eV/f.u.
symmetry: P6_3mc (186)

Cell: 11.235 11.235 8.753 Å, 90.00 90.00 120.00°
Positions (direct):
K: 0.059 0.530 0.000
K: 0.143 0.287 0.318
K: 0.143 0.857 0.318
K: 0.287 0.143 0.818
K: 0.470 0.530 0.000
K: 0.470 0.941 0.000
K: 0.530 0.059 0.500
K: 0.530 0.470 0.500
K: 0.713 0.857 0.318
K: 0.857 0.143 0.818
K: 0.857 0.713 0.818
K: 0.941 0.470 0.500
Hf: 0.333 0.667 0.617
Hf: 0.667 0.333 0.117
Sb: 0.196 0.391 0.709
Sb: 0.196 0.804 0.709
Sb: 0.333 0.667 0.298
Sb: 0.391 0.196 0.209
Sb: 0.609 0.804 0.709
Sb: 0.667 0.333 0.798
Sb: 0.804 0.196 0.209
Sb: 0.804 0.609 0.209